# 1
Pm2Dy5Er2 after structural relaxation, computed with GGA-PBE.

Values from the calculation:
formation energy: 0.11 eV per atom

a b c (Å): 8.708 8.708 6.327
angles (deg): 104.17 104.17 38.67
Fractional positions:
Pm 0.063 0.063 0.289
Pm 0.937 0.937 0.711
Dy 0.181 0.181 0.861
Dy 0.291 0.291 0.427
Dy 0.500 0.500 0.500
Dy 0.709 0.709 0.573
Dy 0.819 0.819 0.139
Er 0.397 0.397 0.979
Er 0.603 0.603 0.021


# 2
Ho5PuS6 after structural relaxation, computed with GGA-PBE.

Values from the calculation:
formation energy from raw total energies: -1.9598 eV per atom

a b c (Å): 6.744 6.744 6.756
angles (deg): 99.58 99.58 120.10
Fractional positions:
Ho 0.000 0.000 0.000
Ho 0.167 0.833 0.500
Ho 0.333 0.667 0.000
Ho 0.667 0.333 0.000
Ho 0.833 0.167 0.500
Pu 0.500 0.500 0.500
S 0.079 0.416 0.248
S 0.247 0.247 0.751
S 0.416 0.079 0.248
S 0.584 0.921 0.752
S 0.753 0.753 0.249
S 0.921 0.584 0.752


# 3
Pm3OsPb after structural relaxation, computed with GGA-PBE.

Values from the calculation:
formation energy: -0.10 eV per atom

a b c (Å): 7.384 7.384 7.384
angles (deg): 90.00 90.00 90.00
Fractional positions:
Pm 0.000 0.000 0.000
Pm 0.271 0.271 0.271
Pm 0.271 0.271 0.729
Pm 0.271 0.729 0.271
Pm 0.271 0.729 0.729
Pm 0.729 0.271 0.271
Pm 0.729 0.271 0.729
Pm 0.729 0.729 0.271
Pm 0.729 0.729 0.729
Os 0.000 0.500 0.500
Os 0.500 0.000 0.500
Os 0.500 0.500 0.000
Pb 0.000 0.000 0.500
Pb 0.000 0.500 0.000
Pb 0.500 0.000 0.000


# 4
Nd2Cd2In after structural relaxation, computed with GGA-PBE.

Values from the calculation:
formation energy: -0.35 eV per atom

a b c (Å): 6.239 6.239 10.148
angles (deg): 107.87 107.87 47.78
Fractional positions:
Nd 0.055 0.055 0.351
Nd 0.174 0.174 0.065
Nd 0.826 0.826 0.935
Nd 0.945 0.945 0.649
Cd 0.370 0.370 0.414
Cd 0.481 0.481 0.136
Cd 0.519 0.519 0.864
Cd 0.630 0.630 0.586
In 0.254 0.254 0.700
In 0.746 0.746 0.300


# 5
Li5As after structural relaxation, computed with GGA-PBE.

Values from the calculation:
formation energy: -0.42 eV per atom

a b c (Å): 4.356 4.356 5.604
angles (deg): 90.00 90.00 120.00
Fractional positions:
Li 0.000 0.000 0.000
Li 0.333 0.667 0.274
Li 0.333 0.667 0.726
Li 0.667 0.333 0.274
Li 0.667 0.333 0.726
As 0.000 0.000 0.500


# 6
Er3GaTe6 after structural relaxation, computed with GGA-PBE.

Values from the calculation:
formation energy from raw total energies: -1.0665 eV per atom

a b c (Å): 9.566 9.566 7.214
angles (deg): 90.00 90.00 102.11
Fractional positions:
Er 0.094 0.906 0.500
Er 0.222 0.415 0.390
Er 0.415 0.222 0.890
Er 0.585 0.778 0.390
Er 0.778 0.585 0.890
Er 0.906 0.094 0.000
Ga 0.296 0.704 0.857
Ga 0.704 0.296 0.357
Te 0.059 0.600 0.666
Te 0.126 0.202 0.698
Te 0.202 0.126 0.198
Te 0.279 0.721 0.223
Te 0.400 0.941 0.666
Te 0.461 0.539 0.704
Te 0.539 0.461 0.204
Te 0.600 0.059 0.166
Te 0.721 0.279 0.723
Te 0.798 0.874 0.698
Te 0.874 0.798 0.198
Te 0.941 0.400 0.166


# 7
Y2MnNi after structural relaxation, computed with GGA-PBE.

Values from the calculation:
formation energy: -0.04 eV per atom

a b c (Å): 4.917 4.917 3.425
angles (deg): 90.00 90.00 90.00
Fractional positions:
Y 0.000 0.500 0.000
Y 0.500 0.000 0.000
Mn 0.000 0.000 0.500
Ni 0.500 0.500 0.500


In eV for the cell shown, the raw total energy values for the records above are, in order, -40.645 -85.503 -89.104 -31.670 -16.759 -92.462 -28.023.